Record 1
First-principles (PBE) data for a relaxed SmHgPd crystal, as listed in OQMD.

Cell and atoms, written as POSCAR:
```
SmHgPd
1.0
-2.7246 -7.0492 -1.2839
2.1374 2.0544 7.0692
-3.6888 1.2909 0.7401
Sm Pd Hg
3 3 3
Direct
0.4009 0.4009 0.5000
0.0000 0.5991 0.5000
0.5991 0.0000 0.5000
0.0000 0.0000 0.5000
0.6667 0.3333 0.0000
0.3333 0.6667 0.0000
0.7371 0.7371 0.0000
0.2629 0.0000 0.0000
0.0000 0.2629 0.0000
```

Properties
formation energy from the elements = -702 meV/atom
relative energy among the computed polymorphs = 0.0000 eV/atom
VASP energy = -4.0967 eV per atom

***

Record 2
First-principles (PBE) data for a relaxed SmHgPd crystal, as listed in OQMD.

Cell and atoms, written as POSCAR:
```
SmHgPd
1.0
7.3738 0.0000 0.0000
0.0000 4.1704 0.0000
0.0000 0.0000 8.8906
Sm Hg Pd
4 4 4
Direct
0.4459 0.7500 0.6926
0.9459 0.7500 0.8074
0.5541 0.2500 0.3074
0.0541 0.2500 0.1926
0.6439 0.2500 0.9359
0.1439 0.2500 0.5641
0.3561 0.7500 0.0641
0.8561 0.7500 0.4359
0.2311 0.2500 0.8729
0.7689 0.7500 0.1271
0.7311 0.2500 0.6271
0.2689 0.7500 0.3729
```

Properties
formation energy from the elements = -698 meV/atom
relative energy among the computed polymorphs = 0.0041 eV/atom
VASP energy = -4.0925 eV per atom

***

Record 3
First-principles (PBE) data for a relaxed SmHgPd crystal, as listed in OQMD.

Cell and atoms, written as POSCAR:
```
SmHgPd
1.0
5.0849 0.0000 0.0000
-2.5425 4.4037 0.0000
0.0000 0.0000 6.1193
Pd Sm Hg
2 2 2
Direct
0.0000 0.0000 0.0000
0.0000 0.0000 0.5000
0.3333 0.6667 0.7500
0.6667 0.3333 0.2500
0.6667 0.3333 0.7500
0.3333 0.6667 0.2500
```

Properties
formation energy from the elements = -473 meV/atom
relative energy among the computed polymorphs = 0.2291 eV/atom
VASP energy = -3.8676 eV per atom

***

Record 4
First-principles (PBE) data for a relaxed SmHgPd crystal, as listed in OQMD.

Cell and atoms, written as POSCAR:
```
SmHgPd
1.0
4.7513 0.0000 0.0000
-2.3757 4.1148 0.0000
0.0000 0.0000 7.0603
Pd Hg Sm
2 2 2
Direct
0.6667 0.3333 0.5085
0.3333 0.6667 0.0085
0.3333 0.6667 0.4938
0.6667 0.3333 0.9938
0.0000 0.0000 0.2477
0.0000 0.0000 0.7477
```

Properties
formation energy from the elements = -623 meV/atom
relative energy among the computed polymorphs = 0.0795 eV/atom
VASP energy = -4.0171 eV per atom

***

Record 5
First-principles (PBE) data for a relaxed SmHgPd crystal, as listed in OQMD.

Cell and atoms, written as POSCAR:
```
SmHgPd
1.0
-2.3712 -0.5586 -4.0828
4.4614 -1.5949 0.3953
-2.4286 -6.2323 2.2632
Pd Hg Sm
2 2 2
Direct
0.3333 0.6667 0.2500
0.6667 0.3333 0.7500
0.6667 0.3333 0.2500
0.3333 0.6667 0.7500
0.0000 0.0000 0.5000
0.0000 0.0000 0.0000
```

Properties
formation energy from the elements = -623 meV/atom
relative energy among the computed polymorphs = 0.0788 eV/atom
VASP energy = -4.0179 eV per atom

***

Record 6
First-principles (PBE) data for a relaxed SmHgPd crystal, as listed in OQMD.

Cell and atoms, written as POSCAR:
```
SmHgPd
1.0
0.0000 3.4569 3.4569
3.4569 0.0000 3.4569
3.4569 3.4569 0.0000
Hg Pd Sm
1 1 1
Direct
0.2500 0.2500 0.2500
0.7500 0.7500 0.7500
0.0000 0.0000 0.0000
```

Properties
formation energy from the elements = -221 meV/atom
relative energy among the computed polymorphs = 0.4810 eV/atom
VASP energy = -3.6157 eV per atom

***

Record 7
First-principles (PBE) data for a relaxed SmHgPd crystal, as listed in OQMD.

Cell and atoms, written as POSCAR:
```
SmHgPd
1.0
-0.7561 -4.4633 -1.5012
-4.0796 -1.1156 -2.2043
0.0019 -0.9785 -4.6679
Hg Sm Pd
1 1 1
Direct
0.2500 0.2500 0.2500
0.7500 0.7500 0.7500
0.0000 0.0000 0.0000
```

Properties
formation energy from the elements = -587 meV/atom
relative energy among the computed polymorphs = 0.1154 eV/atom
VASP energy = -3.9813 eV per atom

***

Record 8
First-principles (PBE) data for a relaxed Sn2HgPd crystal, as listed in OQMD.

Cell and atoms, written as POSCAR:
```
Sn2HgPd
1.0
4.5514 -1.6842 1.3232
0.7247 -4.9098 0.8190
2.7179 -2.7169 -3.2456
Sn Hg Pd
2 1 1
Direct
0.0000 0.0000 0.0000
0.7500 0.7500 0.7500
0.5000 0.5000 0.5000
0.2500 0.2500 0.2500
```

Properties
VASP energy = -3.3224 eV per atom

***

Record 9
First-principles (PBE) data for a relaxed SrSn2HgPd crystal, as listed in OQMD.

Cell and atoms, written as POSCAR:
```
SrSn2HgPd
1.0
-3.4077 1.9950 2.7154
-2.4588 -4.1129 -0.0640
5.4870 -3.4266 9.4034
Pd Hg Sn Sr
2 2 4 2
Direct
0.0000 0.5000 0.6143
0.5000 0.0000 0.3857
0.5000 0.5000 0.0000
0.0000 0.0000 0.0000
0.0000 0.5000 0.8442
0.0000 0.0000 0.5000
0.5000 0.5000 0.5000
0.5000 0.0000 0.1558
0.0000 0.5000 0.2543
0.5000 0.0000 0.7457
```

Properties
VASP energy = -3.5858 eV per atom

***

Record 10
First-principles (PBE) data for a relaxed Sr3Hg2Pd7 crystal, as listed in OQMD.

Cell and atoms, written as POSCAR:
```
Sr3Hg2Pd7
1.0
2.8483 1.6445 8.9739
-2.8483 1.6445 8.9739
0.0000 -3.2889 8.9739
Sr Hg Pd
3 2 7
Direct
0.1402 0.1402 0.1402
0.0000 0.0000 0.0000
0.8598 0.8598 0.8598
0.6668 0.6668 0.6668
0.3332 0.3332 0.3332
0.5851 0.0835 0.5851
0.0835 0.5851 0.5851
0.5851 0.5851 0.0835
0.5000 0.5000 0.5000
0.9165 0.4149 0.4149
0.4149 0.9165 0.4149
0.4149 0.4149 0.9165
```

Properties
VASP energy = -4.0530 eV per atom

***

Record 11
First-principles (PBE) data for a relaxed TaHgPd2 crystal, as listed in OQMD.

Cell and atoms, written as POSCAR:
```
TaHgPd2
1.0
0.0000 3.2379 3.2379
3.2379 0.0000 3.2379
3.2379 3.2379 0.0000
Pd Hg Ta
2 1 1
Direct
0.2500 0.2500 0.2500
0.0000 0.0000 0.0000
0.5000 0.5000 0.5000
0.7500 0.7500 0.7500
```

Properties
formation energy from the elements = 20 meV/atom
VASP energy = -5.6050 eV per atom

***

Record 12
First-principles (PBE) data for a relaxed Ta2HgPd crystal, as listed in OQMD.

Cell and atoms, written as POSCAR:
```
Ta2HgPd
1.0
0.0000 3.3079 3.3079
3.3079 0.0000 3.3079
3.3079 3.3079 0.0000
Hg Pd Ta
1 1 2
Direct
0.2500 0.2500 0.2500
0.5000 0.5000 0.5000
0.7500 0.7500 0.7500
0.0000 0.0000 0.0000
```

Properties
formation energy from the elements = 338 meV/atom
VASP energy = -6.9568 eV per atom

***

Record 13
First-principles (PBE) data for a relaxed TcHgPd crystal, as listed in OQMD.

Cell and atoms, written as POSCAR:
```
TcHgPd
1.0
-1.2806 -4.1711 -0.1403
-0.3525 -2.3005 3.6934
-3.9412 -1.1250 1.5031
Pd Tc Hg
1 1 1
Direct
0.0000 0.0000 0.0000
0.7500 0.7500 0.7500
0.2500 0.2500 0.2500
```

Properties
formation energy from the elements = 749 meV/atom
relative energy among the computed polymorphs = 0.0000 eV/atom
VASP energy = -4.5284 eV per atom

***

Record 14
First-principles (PBE) data for a relaxed Tc2HgPd crystal, as listed in OQMD.

Cell and atoms, written as POSCAR:
```
Tc2HgPd
1.0
-1.0050 -3.7850 -2.2721
-1.4634 -3.6583 2.2304
-4.3116 -1.3219 -0.4017
Tc Pd Hg
2 1 1
Direct
0.0000 0.0000 0.0000
0.2500 0.2500 0.2500
0.7500 0.7500 0.7500
0.5000 0.5000 0.5000
```

Properties
formation energy from the elements = 502 meV/atom
VASP energy = -6.0463 eV per atom

***

Record 15
First-principles (PBE) data for a relaxed TcHgPd2 crystal, as listed in OQMD.

Cell and atoms, written as POSCAR:
```
TcHgPd2
1.0
1.6633 -3.5936 2.2263
-2.7496 -2.5648 2.5492
-1.0783 -4.2032 -1.3442
Pd Tc Hg
2 1 1
Direct
0.2500 0.2500 0.2500
0.5000 0.5000 0.5000
0.0000 0.0000 0.0000
0.7500 0.7500 0.7500
```

Properties
formation energy from the elements = 355 meV/atom
VASP energy = -4.8974 eV per atom

***

Record 16
First-principles (PBE) data for a relaxed HgTe3Pd2 crystal, as listed in OQMD.

Cell and atoms, written as POSCAR:
```
HgTe3Pd2
1.0
8.0223 0.0000 0.0000
-4.0112 6.9475 0.0000
0.0000 0.0000 5.4620
Te Hg Pd
6 2 4
Direct
0.8287 0.1713 0.2465
0.1713 0.8287 0.7535
0.1713 0.3426 0.7535
0.3426 0.1713 0.2465
0.6574 0.8287 0.7535
0.8287 0.6574 0.2465
0.3333 0.6667 0.3224
0.6667 0.3333 0.6776
0.0000 0.5000 0.0000
0.5000 0.5000 0.0000
0.5000 0.0000 0.0000
0.0000 0.0000 0.0000
```

Properties
VASP energy = -3.6595 eV per atom

***

Record 17
First-principles (PBE) data for a relaxed HgTe2Pd crystal, as listed in OQMD.

Cell and atoms, written as POSCAR:
```
HgTe2Pd
1.0
0.8729 -4.9512 1.0045
-3.9234 -3.2878 0.2880
-0.6717 -3.5173 -3.6692
Hg Pd Te
1 1 2
Direct
0.2500 0.2500 0.2500
0.5000 0.5000 0.5000
0.0000 0.0000 0.0000
0.7500 0.7500 0.7500
```

Properties
VASP energy = -2.6525 eV per atom

***

Record 18
First-principles (PBE) data for a relaxed HgTePd crystal, as listed in OQMD.

Cell and atoms, written as POSCAR:
```
HgTePd
1.0
-0.0602 -0.9837 4.5569
2.2182 2.7801 3.0145
-2.4422 2.6796 2.9312
Te Pd Hg
1 1 1
Direct
0.7500 0.7500 0.7500
0.0000 0.0000 0.0000
0.2500 0.2500 0.2500
```

Properties
relative energy among the computed polymorphs = 0.0000 eV/atom
VASP energy = -3.0296 eV per atom

***

Record 19
First-principles (PBE) data for a relaxed TlHg3Te4Pd crystal, as listed in OQMD.

Cell and atoms, written as POSCAR:
```
TlHg3Te4Pd
1.0
-0.4933 2.4247 6.3769
5.0022 -4.2191 1.9912
4.6392 4.8070 -1.4689
Te Hg Pd Tl
4 3 1 1
Direct
0.2380 0.7620 0.2380
0.2380 0.2380 0.7620
0.7620 0.7620 0.7620
0.7620 0.2380 0.2380
0.5000 0.0000 0.0000
0.0000 0.0000 0.5000
0.0000 0.5000 0.0000
0.0000 0.0000 0.0000
0.5000 0.5000 0.5000
```

Properties
VASP energy = -2.3829 eV per atom

***

Record 20
First-principles (PBE) data for a relaxed TlHg2Pd crystal, as listed in OQMD.

Cell and atoms, written as POSCAR:
```
TlHg2Pd
1.0
-4.8912 -0.3213 -0.9793
-3.3318 1.6422 3.3450
-2.6404 4.1416 -0.9283
Pd Hg Tl
1 2 1
Direct
0.2500 0.2500 0.2500
0.0000 0.0000 0.0000
0.7500 0.7500 0.7500
0.5000 0.5000 0.5000
```

Properties
VASP energy = -1.9646 eV per atom

***

Record 21
First-principles (PBE) data for a relaxed TmHgPd crystal, as listed in OQMD.

Cell and atoms, written as POSCAR:
```
TmHgPd
1.0
4.7414 0.2453 0.2302
2.0795 3.2094 2.8230
2.2645 -1.4084 3.9348
Tm Hg Pd
1 1 1
Direct
0.0000 0.0000 0.0000
0.2500 0.2500 0.2500
0.7500 0.7500 0.7500
```

Properties
formation energy from the elements = -274 meV/atom
VASP energy = -3.5902 eV per atom

***

Record 22
First-principles (PBE) data for a relaxed TmHgPd crystal, as listed in OQMD.

Cell and atoms, written as POSCAR:
```
TmHgPd
1.0
-1.8356 1.8356 4.6038
1.8356 -1.8356 4.6038
1.8356 1.8356 -4.6038
Hg Pd Tm
1 1 1
Direct
0.6188 0.6188 0.0000
0.2891 0.2891 0.0000
0.9421 0.9421 0.0000
```

Properties
formation energy from the elements = -714 meV/atom
VASP energy = -4.0297 eV per atom

***

Record 23
First-principles (PBE) data for a relaxed TmHgPd crystal, as listed in OQMD.

Cell and atoms, written as POSCAR:
```
TmHgPd
1.0
0.0000 3.2988 3.2988
3.2988 0.0000 3.2988
3.2988 3.2988 0.0000
Pd Tm Hg
1 1 1
Direct
0.7500 0.7500 0.7500
0.5000 0.5000 0.5000
0.0000 0.0000 0.0000
```

Properties
formation energy from the elements = -592 meV/atom
VASP energy = -3.9080 eV per atom

***

Record 24
First-principles (PBE) data for a relaxed HgPd6W crystal, as listed in OQMD.

Cell and atoms, written as POSCAR:
```
HgPd6W
1.0
3.9727 0.0000 0.0000
0.0000 3.9727 0.0000
0.0000 0.0000 8.0199
Pd Hg W
6 1 1
Direct
0.0000 0.5000 0.2674
0.5000 0.0000 0.7326
0.5000 0.0000 0.2674
0.5000 0.5000 0.5000
0.0000 0.5000 0.7326
0.5000 0.5000 0.0000
0.0000 0.0000 0.0000
0.0000 0.0000 0.5000
```

Properties
formation energy from the elements = -150 meV/atom
VASP energy = -5.6883 eV per atom

***

Record 25
First-principles (PBE) data for a relaxed YHgPd2 crystal, as listed in OQMD.

Cell and atoms, written as POSCAR:
```
YHgPd2
1.0
-0.3643 -4.7735 0.4894
-2.2885 -1.8612 3.8022
-4.2617 -2.1596 -0.5768
Pd Hg Y
2 1 1
Direct
0.2500 0.2500 0.2500
0.0000 0.0000 0.0000
0.5000 0.5000 0.5000
0.7500 0.7500 0.7500
```

Properties
formation energy from the elements = -549 meV/atom
VASP energy = -4.8273 eV per atom

***

Record 26
First-principles (PBE) data for a relaxed Y2HgPd crystal, as listed in OQMD.

Cell and atoms, written as POSCAR:
```
Y2HgPd
1.0
1.5343 -4.5856 -1.1548
-3.0519 -3.1148 -2.3874
0.8881 -1.2038 -4.7410
Y Pd Hg
2 1 1
Direct
0.0000 0.0000 0.0000
0.7500 0.7500 0.7500
0.5000 0.5000 0.5000
0.2500 0.2500 0.2500
```

Properties
formation energy from the elements = -419 meV/atom
VASP energy = -5.0200 eV per atom

***

Record 27
First-principles (PBE) data for a relaxed Zn2HgPd crystal, as listed in OQMD.

Cell and atoms, written as POSCAR:
```
Zn2HgPd
1.0
-1.5040 -4.0916 1.2411
-3.7039 -0.3643 2.5869
-3.8436 -1.6322 -1.7625
Pd Zn Hg
1 2 1
Direct
0.5000 0.5000 0.5000
0.0000 0.0000 0.0000
0.7500 0.7500 0.7500
0.2500 0.2500 0.2500
```

Properties
formation energy from the elements = -97 meV/atom
VASP energy = -2.0973 eV per atom

***

Record 28
First-principles (PBE) data for a relaxed Zn2HgPd3 crystal, as listed in OQMD.

Cell and atoms, written as POSCAR:
```
Zn2HgPd3
1.0
2.9726 0.0000 0.0000
0.0000 2.9726 0.0000
0.0000 0.0000 10.6418
Zn Pd Hg
2 3 1
Direct
0.0000 0.0000 0.1554
0.0000 0.0000 0.8446
0.5000 0.5000 0.0000
0.5000 0.5000 0.3054
0.5000 0.5000 0.6946
0.0000 0.0000 0.5000
```

Properties
formation energy from the elements = -446 meV/atom
VASP energy = -3.5048 eV per atom